The following is a PBE-GGA calculation of a geometry-optimized AuBrCl structure, from Alexandria.

Results
D(E_F): 3.682 states/eV per cell
Total magnetic moment: 0.00 Bohr magnetons per cell
Raw formation energy: -0.05 eV per atom
Energy above the lowest structure with this stoichiometry: 112 meV/atom

abc: 3.6702 7.2756 7.5539
angles: 81.32 89.83 88.75
Space group P1 (No. 1)
One atom of each set of equivalent atoms:
Au  0.0000  0.0000  0.0000 (multiplicity 1)
Au  0.4939  0.1126  0.2128 (multiplicity 1)
Br  0.4832  0.4057  0.9975 (multiplicity 1)
Br  0.5076  0.7861  0.3662 (multiplicity 1)
Cl  0.5048  0.9091  0.8209 (multiplicity 1)
Cl  0.9880  0.2192  0.4078 (multiplicity 1)